Density functional theory data (PBE) for a relaxed TlTc2B2 crystal.

ΔE to the lowest computed polymorph   27 meV/atom
Symmetry   P4/mbm, No. 127

```
10
Lattice="-5.0565 1.2998 -3.6434 2.2363 -3.9106 -4.4987 -1.5222 -2.3404 1.2777" Properties=species:S:1:pos:R:3 pbc="T T T"
Tc -0.0855 -3.5351 -2.8880
Tc -4.2570 -1.4161 -3.9764
Tl -1.4101 -1.3054 -4.0711
B 0.3675 -1.4190 -2.1613
B -2.8186 0.3812 -2.6598
B -3.1877 -1.1919 -5.9808
Tc -2.1451 -1.3378 -1.3171
Tc -2.1973 -3.6134 -5.5474
B -0.0017 -2.9920 -5.4824
Tl 0.0000 0.0000 0.0000
```


Density functional theory data (PBE) for a relaxed Tl2VTcB crystal.

Symmetry   P4/mmm, No. 123

```
5
Lattice="-3.2331 3.5147 2.2809 -2.8959 -1.0524 -2.4830 -1.5988 -3.6979 3.4320" Properties=species:S:1:pos:R:3 pbc="T T T"
Tc 0.0000 0.0000 0.0000
Tl -0.7994 -1.8489 1.7160
V -3.8639 -0.6178 1.6149
B -1.4480 -0.5262 -1.2415
Tl -1.6165 1.7574 1.1405
```


Density functional theory data (PBE) for a relaxed TlZnTcB2 crystal.

Symmetry   P4/mmm, No. 123

```
5
Lattice="4.1649 0.0000 0.0000 0.0000 5.0289 0.0000 0.0000 0.0000 4.1649" Properties=species:S:1:pos:R:3 pbc="T T T"
Tc 0.0000 0.0000 0.0000
B 2.0824 0.0000 0.0000
Tl 2.0824 2.5144 2.0824
Zn 0.0000 2.5144 0.0000
B 0.0000 0.0000 2.0824
```


| no. | DFT formation energy (kJ per mole of atoms) | mass density (g cm⁻³) | VASP energy (eV/f.u.) |
| --- | --- | --- | --- |
| 1 | 41.7 | 11.26 | -34.29 |
| 2 | 133.4 | 8.52 | -23.98 |
| 3 | 78.0 | 7.41 | -23.32 |